Compound: Y4FeBr
Source: Alexandria
Functional: PBE
Structure: optimized geometry

Structure (POSCAR):
```
Y4FeBr
1.0
0.000 4.513 4.513
4.513 0.000 4.513
4.513 4.513 0.000
Y Fe Br
4 1 1
Cartesian
3.400 3.400 3.400
5.626 5.626 3.400
5.626 3.400 5.626
3.400 5.626 5.626
6.770 6.770 6.770
0.000 0.000 0.000
```

Calculated values
Formation energy (no corrections) (kJ/mol of formula units): 393
Magnetic moment (Bohr magnetons per cell): 2.6

Compound: YFeBr3
Source: Alexandria
Functional: PBE
Structure: optimized geometry

Structure (POSCAR):
```
YFeBr3
1.0
4.857 0.000 0.000
0.000 4.857 0.000
0.000 0.000 4.857
Y Fe Br
1 1 3
Cartesian
0.000 0.000 0.000
2.428 2.428 2.428
0.000 2.428 2.428
2.428 0.000 2.428
2.428 2.428 0.000
```

Calculated values
Formation energy (no corrections) (kJ/mol of formula units): -87
Energy above the most stable polymorph in this dataset (meV per atom): 251.2
Magnetic moment (Bohr magnetons per cell): 0.0

Compound: YFeBr
Source: Alexandria
Functional: PBE
Structure: optimized geometry

Structure (POSCAR):
```
YFeBr
1.0
0.000 2.413 6.193
2.406 0.000 6.193
2.406 2.413 0.000
Y Fe Br
1 1 1
Cartesian
0.000 0.000 0.000
2.406 2.413 4.488
2.406 2.413 8.194
```

Calculated values
Formation energy (no corrections) (kJ/mol of formula units): -22
Magnetic moment (Bohr magnetons per cell): 2.1

Compound: YFeBr
Source: Alexandria
Functional: PBE
Structure: optimized geometry

Structure (POSCAR):
```
YFeBr
1.0
0.000 3.080 3.080
3.080 0.000 3.080
3.080 3.080 0.000
Y Fe Br
1 1 1
Cartesian
0.000 0.000 0.000
1.540 1.540 1.540
3.080 3.080 3.080
```

Calculated values
Formation energy (no corrections) (kJ/mol of formula units): 84
Magnetic moment (Bohr magnetons per cell): 0.2

Compound: Y2FeBr
Source: Alexandria
Functional: PBE
Structure: optimized geometry

Structure (POSCAR):
```
Y2FeBr
1.0
-3.189 3.189 5.931
3.189 -3.189 5.931
3.189 3.189 -5.931
Y Fe Br
4 2 2
Cartesian
4.783 1.147 -1.483
1.147 1.594 1.483
-1.594 2.041 4.448
2.041 1.594 7.414
0.000 0.000 0.000
0.000 3.189 2.965
3.189 0.000 2.965
0.000 0.000 5.931
```

Calculated values
Formation energy (no corrections) (kJ/mol of formula units): 21
Energy above the most stable polymorph in this dataset (meV per atom): 526.4
Magnetic moment (Bohr magnetons per cell): 0.0

Compound: Y2FeBr
Source: Alexandria
Functional: PBE
Structure: optimized geometry

Structure (POSCAR):
```
Y2FeBr
1.0
0.000 3.613 3.613
3.613 0.000 3.613
3.613 3.613 0.000
Y Fe Br
2 1 1
Cartesian
0.000 0.000 0.000
1.806 1.806 1.806
3.613 3.613 3.613
5.419 5.419 5.419
```

Calculated values
Formation energy (no corrections) (kJ/mol of formula units): 184
Energy above the most stable polymorph in this dataset (meV per atom): 948.5
Magnetic moment (Bohr magnetons per cell): 0.9

Compound: Y2FeBr
Source: Alexandria
Functional: PBE
Structure: optimized geometry

Structure (POSCAR):
```
Y2FeBr
1.0
2.393 -2.403 0.000
2.393 2.403 0.000
0.000 0.000 8.000
Y Fe Br
2 1 1
Cartesian
0.000 0.000 1.609
0.000 0.000 6.391
2.393 0.000 0.000
2.393 0.000 4.000
```

Calculated values
Formation energy (no corrections) (kJ/mol of formula units): -170
Energy above the most stable polymorph in this dataset (meV per atom): 31.1
Magnetic moment (Bohr magnetons per cell): 0.3

Compound: YFeBr
Source: Alexandria
Functional: PBE
Structure: optimized geometry

Structure (POSCAR):
```
YFeBr
1.0
3.668 0.000 0.000
-1.834 3.177 0.000
0.000 0.000 6.397
Y Fe Br
1 1 1
Cartesian
0.000 0.000 0.000
0.000 2.118 4.463
1.834 1.059 2.099
```

Calculated values
Formation energy (no corrections) (kJ/mol of formula units): -26
Magnetic moment (Bohr magnetons per cell): 2.1

Compound: Y2FeBr
Source: Alexandria
Functional: PBE
Structure: optimized geometry

Structure (POSCAR):
```
Y2FeBr
1.0
5.488 -1.754 0.000
5.488 1.754 0.000
-0.067 0.000 4.768
Y Fe Br
2 1 1
Cartesian
0.000 0.000 0.000
7.919 0.000 2.411
2.794 0.000 0.028
4.961 0.000 2.373
```

Calculated values
Formation energy (no corrections) (kJ/mol of formula units): -94
Energy above the most stable polymorph in this dataset (meV per atom): 227.5
Magnetic moment (Bohr magnetons per cell): 1.6

Compound: Y5Fe2Br2
Source: Alexandria
Functional: PBE
Structure: optimized geometry

Structure (POSCAR):
```
Y5Fe2Br2
1.0
8.174 -3.769 0.000
8.174 3.769 0.000
0.000 0.000 7.533
Y Fe Br
10 4 4
Cartesian
0.000 0.000 0.000
6.339 2.532 4.995
6.339 1.237 1.228
10.010 2.532 4.995
10.010 1.237 1.228
8.174 0.000 3.766
6.339 -1.237 6.304
6.339 -2.532 2.538
10.010 -1.237 6.304
10.010 -2.532 2.538
8.174 2.871 2.882
8.174 0.898 6.649
8.174 -0.898 0.884
8.174 -2.871 4.650
3.635 0.000 0.000
4.539 0.000 3.766
11.809 0.000 3.766
12.714 0.000 0.000
```

Calculated values
Formation energy (no corrections) (kJ/mol of formula units): -402
Magnetic moment (Bohr magnetons per cell): 2.4

Compound: Y2FeBr
Source: Alexandria
Functional: PBE
Structure: optimized geometry

Structure (POSCAR):
```
Y2FeBr
1.0
1.900 1.097 7.895
-1.900 1.097 7.895
0.000 -2.194 7.895
Y Fe Br
2 1 1
Cartesian
0.000 0.000 5.556
0.000 0.000 18.129
0.000 0.000 11.843
0.000 0.000 0.000
```

Calculated values
Formation energy (no corrections) (kJ/mol of formula units): -180
Energy above the most stable polymorph in this dataset (meV per atom): 4.8
Magnetic moment (Bohr magnetons per cell): 0.8

Compound: YFe3Br
Source: Alexandria
Functional: PBE
Structure: optimized geometry

Structure (POSCAR):
```
YFe3Br
1.0
4.437 0.000 0.000
0.000 4.437 0.000
0.000 0.000 4.437
Y Fe Br
1 3 1
Cartesian
0.000 0.000 0.000
0.000 2.218 2.218
2.218 0.000 2.218
2.218 2.218 0.000
2.218 2.218 2.218
```

Calculated values
Formation energy (no corrections) (kJ/mol of formula units): 359
Energy above the most stable polymorph in this dataset (meV per atom): 0.0
Magnetic moment (Bohr magnetons per cell): 4.5

Compound: YFeBr
Source: Alexandria
Functional: PBE
Structure: optimized geometry

Structure (POSCAR):
```
YFeBr
1.0
4.249 0.000 0.000
-2.124 3.680 0.000
0.000 0.000 3.592
Y Fe Br
1 1 1
Cartesian
0.000 0.000 0.000
0.000 2.453 1.796
2.124 1.227 1.796
```

Calculated values
Formation energy (no corrections) (kJ/mol of formula units): -8
Magnetic moment (Bohr magnetons per cell): 0.9

Compound: ZnFe3Br
Source: Alexandria
Functional: PBE
Structure: optimized geometry

Structure (POSCAR):
```
ZnFe3Br
1.0
4.568 0.000 0.000
0.000 4.568 0.000
0.000 0.000 4.568
Zn Fe Br
1 3 1
Cartesian
0.000 0.000 0.000
0.000 0.000 2.284
0.000 2.284 0.000
2.284 0.000 0.000
2.284 2.284 2.284
```

Calculated values
Formation energy (no corrections) (kJ/mol of formula units): 578
Energy above the most stable polymorph in this dataset (meV per atom): 78.5
Magnetic moment (Bohr magnetons per cell): 8.6

Compound: ZnFe3Br
Source: Alexandria
Functional: PBE
Structure: optimized geometry

Structure (POSCAR):
```
ZnFe3Br
1.0
4.360 0.000 0.000
0.000 4.360 0.000
0.000 0.000 4.360
Zn Fe Br
1 3 1
Cartesian
0.000 0.000 0.000
0.000 2.180 2.180
2.180 0.000 2.180
2.180 2.180 0.000
2.180 2.180 2.180
```

Calculated values
Formation energy (no corrections) (kJ/mol of formula units): 540
Energy above the most stable polymorph in this dataset (meV per atom): 0.0
Magnetic moment (Bohr magnetons per cell): 6.1

Compound: Zn2FeBr8
Source: Alexandria
Functional: PBE
Structure: optimized geometry

Structure (POSCAR):
```
Zn2FeBr8
1.0
7.030 -4.018 0.000
7.030 4.018 0.000
-0.235 0.000 6.362
Zn Fe Br
2 1 8
Cartesian
2.170 0.000 2.732
11.655 0.000 3.629
0.000 0.000 0.000
5.931 2.297 4.858
1.937 0.000 5.205
7.894 2.297 1.504
4.501 0.000 2.526
9.323 0.000 3.836
5.931 -2.297 4.858
11.888 0.000 1.157
7.894 -2.297 1.504
```

Calculated values
Formation energy (no corrections) (kJ/mol of formula units): -574
Magnetic moment (Bohr magnetons per cell): 1.9

Compound: ZnFeBr3
Source: Alexandria
Functional: PBE
Structure: optimized geometry

Structure (POSCAR):
```
ZnFeBr3
1.0
4.919 0.000 0.000
0.000 4.919 0.000
0.000 0.000 4.919
Zn Fe Br
1 1 3
Cartesian
0.000 0.000 0.000
2.459 2.459 2.459
0.000 2.459 2.459
2.459 0.000 2.459
2.459 2.459 0.000
```

Calculated values
Formation energy (no corrections) (kJ/mol of formula units): 79
Energy above the most stable polymorph in this dataset (meV per atom): 0.0
Magnetic moment (Bohr magnetons per cell): 0.0

Compound: ZnFeBr3
Source: Alexandria
Functional: PBE
Structure: optimized geometry

Structure (POSCAR):
```
ZnFeBr3
1.0
5.135 0.000 0.000
0.000 5.135 0.000
0.000 0.000 5.135
Zn Fe Br
1 1 3
Cartesian
0.000 0.000 0.000
2.567 2.567 2.567
0.000 0.000 2.567
0.000 2.567 0.000
2.567 0.000 0.000
```

Calculated values
Formation energy (no corrections) (kJ/mol of formula units): 108
Energy above the most stable polymorph in this dataset (meV per atom): 59.6
Magnetic moment (Bohr magnetons per cell): 3.8

Compound: ZrFe2Br8
Source: Alexandria
Functional: PBE
Structure: optimized geometry

Structure (POSCAR):
```
ZrFe2Br8
1.0
6.876 -4.588 0.000
6.876 4.588 0.000
-0.039 0.000 6.313
Zr Fe Br
1 2 8
Cartesian
0.000 0.000 0.000
2.281 0.000 2.285
11.433 0.000 4.028
5.762 2.631 4.829
2.168 0.000 4.764
7.951 2.631 1.484
4.519 0.000 1.736
9.194 0.000 4.577
5.762 -2.631 4.829
11.546 0.000 1.549
7.951 -2.631 1.484
```

Calculated values
Formation energy (no corrections) (kJ/mol of formula units): -864
Magnetic moment (Bohr magnetons per cell): 8.0

Compound: Zr2FeBr
Source: Alexandria
Functional: PBE
Structure: optimized geometry

Structure (POSCAR):
```
Zr2FeBr
1.0
0.000 3.390 3.390
3.390 0.000 3.390
3.390 3.390 0.000
Zr Fe Br
2 1 1
Cartesian
0.000 0.000 0.000
1.695 1.695 1.695
3.390 3.390 3.390
5.086 5.086 5.086
```

Calculated values
Formation energy (no corrections) (kJ/mol of formula units): 257
Energy above the most stable polymorph in this dataset (meV per atom): 1008.8
Magnetic moment (Bohr magnetons per cell): 2.9

Compound: ZrFe3Br
Source: Alexandria
Functional: PBE
Structure: optimized geometry

Structure (POSCAR):
```
ZrFe3Br
1.0
4.346 0.000 0.000
0.000 4.346 0.000
0.000 0.000 4.346
Zr Fe Br
1 3 1
Cartesian
0.000 0.000 0.000
0.000 2.173 2.173
2.173 0.000 2.173
2.173 2.173 0.000
2.173 2.173 2.173
```

Calculated values
Formation energy (no corrections) (kJ/mol of formula units): 438
Energy above the most stable polymorph in this dataset (meV per atom): 0.0
Magnetic moment (Bohr magnetons per cell): 4.0

Compound: Zr2FeBr
Source: Alexandria
Functional: PBE
Structure: optimized geometry

Structure (POSCAR):
```
Zr2FeBr
1.0
4.514 0.000 0.000
0.000 1.626 5.112
0.000 -1.626 5.112
Zr Fe Br
2 1 1
Cartesian
0.000 0.000 0.000
2.257 0.000 2.902
0.000 0.000 7.607
2.257 0.000 5.659
```

Calculated values
Formation energy (no corrections) (kJ/mol of formula units): -3
Energy above the most stable polymorph in this dataset (meV per atom): 335.2
Magnetic moment (Bohr magnetons per cell): 1.8

Compound: ZrFe3Br
Source: Alexandria
Functional: PBE
Structure: optimized geometry

Structure (POSCAR):
```
ZrFe3Br
1.0
4.781 0.000 0.000
0.000 4.781 0.000
0.000 0.000 4.781
Zr Fe Br
1 3 1
Cartesian
0.000 0.000 0.000
0.000 0.000 2.391
0.000 2.391 0.000
2.391 0.000 0.000
2.391 2.391 2.391
```

Calculated values
Formation energy (no corrections) (kJ/mol of formula units): 768
Energy above the most stable polymorph in this dataset (meV per atom): 684.8
Magnetic moment (Bohr magnetons per cell): 6.4

Compound: ZrFe4Br
Source: Alexandria
Functional: PBE
Structure: optimized geometry

Structure (POSCAR):
```
ZrFe4Br
1.0
0.000 3.553 3.553
3.553 0.000 3.553
3.553 3.553 0.000
Zr Fe Br
1 4 1
Cartesian
0.000 0.000 0.000
2.657 2.657 2.657
4.449 4.449 2.657
4.449 2.657 4.449
2.657 4.449 4.449
5.329 5.329 5.329
```

Calculated values
Formation energy (no corrections) (kJ/mol of formula units): 134
Magnetic moment (Bohr magnetons per cell): 8.9

Compound: Zr2FeBr
Source: Alexandria
Functional: PBE
Structure: optimized geometry

Structure (POSCAR):
```
Zr2FeBr
1.0
2.240 -2.244 0.000
2.240 2.244 0.000
0.000 0.000 7.770
Zr Fe Br
2 1 1
Cartesian
0.000 0.000 1.573
0.000 0.000 6.196
2.240 0.000 0.000
2.240 0.000 3.885
```

Calculated values
Formation energy (no corrections) (kJ/mol of formula units): -90
Energy above the most stable polymorph in this dataset (meV per atom): 110.2
Magnetic moment (Bohr magnetons per cell): 0.7

Compound: Zr2FeBr
Source: Alexandria
Functional: PBE
Structure: optimized geometry

Structure (POSCAR):
```
Zr2FeBr
1.0
3.186 0.000 0.000
0.000 3.259 0.000
0.000 0.000 7.916
Zr Fe Br
2 1 1
Cartesian
0.000 0.000 1.547
0.000 0.000 6.369
1.593 1.630 0.000
1.593 0.000 3.958
```

Calculated values
Formation energy (no corrections) (kJ/mol of formula units): -120
Energy above the most stable polymorph in this dataset (meV per atom): 31.5
Magnetic moment (Bohr magnetons per cell): 0.7

Compound: Zr2FeBr
Source: Alexandria
Functional: PBE
Structure: optimized geometry

Structure (POSCAR):
```
Zr2FeBr
1.0
3.262 -1.829 0.000
3.262 1.829 0.000
-2.227 0.000 7.191
Zr Fe Br
2 1 1
Cartesian
1.087 0.000 1.281
3.209 0.000 5.910
3.262 0.000 0.000
-1.114 0.000 3.595
```

Calculated values
Formation energy (no corrections) (kJ/mol of formula units): -132
Energy above the most stable polymorph in this dataset (meV per atom): 0.0
Magnetic moment (Bohr magnetons per cell): 0.0

Compound: Zr2FeBr
Source: Alexandria
Functional: PBE
Structure: optimized geometry

Structure (POSCAR):
```
Zr2FeBr
1.0
1.676 0.968 9.376
-1.676 0.968 9.376
0.000 -1.935 9.376
Zr Fe Br
2 1 1
Cartesian
0.000 0.000 0.000
0.000 0.000 6.866
0.000 0.000 20.589
0.000 0.000 14.260
```

Calculated values
Formation energy (no corrections) (kJ/mol of formula units): -10
Energy above the most stable polymorph in this dataset (meV per atom): 316.7
Magnetic moment (Bohr magnetons per cell): 2.5